<P>
Density functional theory data (GGA-PBE) for crystalline TiPd6Au2 at its relaxed geometry.

Unit cell a=6.170 b=6.170 c=8.379 alpha=130.97 beta=130.97 gamma=38.43
Atoms (fractional coordinates):
Ti1 0.000 0.000 0.000
Pd1 0.004 0.004 0.676
Pd2 0.328 0.328 0.323
Pd3 0.337 0.337 0.000
Pd4 0.663 0.663 0.000
Pd5 0.672 0.672 0.677
Pd6 0.996 0.996 0.324
Au1 0.335 0.335 0.670
Au2 0.665 0.665 0.330

Computed properties:
* space-group type: C2/m (12)
* total magnetic moment: 0.000 μB/atom
* V: 15.9 A^3/atom

---

<Q>
Density functional theory data (GGA-PBE) for crystalline TiPd6Au2 at its relaxed geometry.

Unit cell a=4.868 b=4.868 c=8.381 alpha=106.21 beta=106.21 gamma=49.01
Atoms (fractional coordinates):
Ti1 0.000 0.000 0.000
Pd1 0.002 0.002 0.325
Pd2 0.335 0.335 0.109
Pd3 0.336 0.336 0.446
Pd4 0.664 0.664 0.554
Pd5 0.665 0.665 0.891
Pd6 0.998 0.998 0.675
Au1 0.332 0.332 0.778
Au2 0.668 0.668 0.222

Computed properties:
* space-group type: C2/m (12)
* total magnetic moment: 0.000 μB/atom
* V: 15.9 A^3/atom

---

In terms of stability, <P> leads; the second structure lies 15 meV per atom higher.

---

<P>
Density functional theory data (GGA-PBE) for crystalline TiPd3Au2 at its relaxed geometry.

Unit cell a=6.437 b=6.437 c=3.909 alpha=90.00 beta=90.00 gamma=143.33
Atoms (fractional coordinates):
Ti1 0.000 0.000 0.000
Pd1 0.160 0.840 0.500
Pd2 0.500 0.500 0.500
Pd3 0.840 0.160 0.500
Au1 0.338 0.662 0.000
Au2 0.662 0.338 0.000

Computed properties:
* space-group type: Cmmm (65)
* total magnetic moment: 0.000 μB/atom
* V: 16.1 A^3/atom

---

<Q>
Density functional theory data (GGA-PBE) for crystalline TiPd3Au2 at its relaxed geometry.

Unit cell a=4.553 b=8.459 c=5.089 alpha=90.00 beta=90.00 gamma=90.00
Atoms (fractional coordinates):
Ti1 0.000 0.106 0.000
Ti2 0.000 0.894 0.500
Pd1 0.000 0.409 0.995
Pd2 0.000 0.591 0.495
Pd3 0.500 0.076 0.680
Pd4 0.500 0.247 0.168
Pd5 0.500 0.753 0.668
Pd6 0.500 0.924 0.180
Au1 0.000 0.233 0.495
Au2 0.000 0.767 0.995
Au3 0.500 0.416 0.670
Au4 0.500 0.584 0.170

Computed properties:
* space-group type: Pmc2_1 (26)
* total magnetic moment: 0.000 μB/atom
* V: 16.3 A^3/atom

---

In terms of stability, <P> leads; the second structure lies 114 meV per atom higher.